No. 1
Here is a relaxed structure of SrNdZnN2 from the Alexandria database. Energies are from PBE.

Summary:
formation energy from raw total energies	-501	meV per atom

a b c (Å): 5.5746 5.5065 6.8957
angles (deg): 90.00 90.01 90.00
Closest atoms and distances in Å follow each position.
Space group P2/c (No. 13)
Symmetry-distinct sites (fractional):
1 Sr 0.0000 0.0005 0.2500 [2 per cell]  4 N 2.75-2.76
2 Nd 0.5000 0.5001 0.2500 [2 per cell]  4 N 2.47
3 Zn 0.5000 0.0000 0.0000 [2 per cell]  2 N 1.87
4 N 0.2856 0.2617 0.0000 [4 per cell]  1 Zn 1.87

***

No. 2
Here is a relaxed structure of NdTaN3 from the Alexandria database. Energies are from PBE.

Summary:
formation energy from raw total energies	-1020	meV per atom

a b c (Å): 12.0440 3.2595 8.1454
angles (deg): 90.00 118.25 90.00
Closest atoms and distances in Å follow each position.
Space group C2/m (No. 12)
Symmetry-distinct sites (fractional):
1 Nd 0.0757 0.0000 0.3495 [4 per cell]  7 N 2.45-2.64
2 Ta 0.2232 0.5000 0.8191 [4 per cell]  6 N 2.04-2.20
3 N 0.0631 0.5000 0.5667 [4 per cell]  1 N 1.39
4 N 0.1480 0.0000 0.9045 [4 per cell]  3 Ta 2.04-2.13
5 N 0.1949 0.5000 0.2704 [4 per cell]  2 Ta 2.20, 2 Nd 2.45

***

No. 3
Here is a relaxed structure of NdTa3N6 from the Alexandria database. Energies are from PBE.

Summary:
formation energy from raw total energies	-1094	meV per atom

a b c (Å): 8.6451 3.1964 9.0295
angles (deg): 90.00 107.39 90.00
Closest atoms and distances in Å follow each position.
Space group P2_1/m (No. 11)
Symmetry-distinct sites (fractional):
1 Nd 0.0772 0.2500 0.2006 [2 per cell]  7 N 2.49-2.60
2 Ta 0.1643 0.2500 0.5862 [2 per cell]  6 N 2.02-2.22
3 Ta 0.3238 0.7500 0.9951 [2 per cell]  7 N 2.12-2.33
4 Ta 0.4914 0.2500 0.3285 [2 per cell]  6 N 2.04-2.28
5 N 0.0738 0.7500 0.4108 [2 per cell]  3 Ta 2.07-2.22
6 N 0.1506 0.2500 0.9538 [2 per cell]  2 Ta 2.15
7 N 0.2429 0.7500 0.7246 [2 per cell]  2 Ta 2.02
8 N 0.3172 0.7500 0.2351 [2 per cell]  3 Ta 2.19
9 N 0.3841 0.2500 0.5307 [2 per cell]  4 Ta 2.10-2.28
10 N 0.4789 0.2500 0.0994 [2 per cell]  4 Ta 2.04-2.12

***

No. 4
Here is a relaxed structure of NdTaN3 from the Alexandria database. Energies are from PBE.

Summary:
formation energy from raw total energies	-947	meV per atom

a b c (Å): 4.0861 4.0861 4.0861
angles (deg): 90.00 90.00 90.00
Closest atoms and distances in Å follow each position.
Space group Pm-3m (No. 221)
Symmetry-distinct sites (fractional):
1 Nd 0.0000 0.0000 0.0000 [1 per cell]  12 N 2.89
2 Ta 0.5000 0.5000 0.5000 [1 per cell]  6 N 2.04
3 N 0.0000 0.5000 0.5000 [3 per cell]  2 Ta 2.04

***

No. 5
Here is a relaxed structure of NdTaN3 from the Alexandria database. Energies are from PBE.

Summary:
formation energy from raw total energies	-864	meV per atom

a b c (Å): 4.6547 4.2526 6.2792
angles (deg): 90.00 90.00 90.00
Closest atoms and distances in Å follow each position.
Space group Pmma (No. 51)
Symmetry-distinct sites (fractional):
1 Nd 0.2500 0.0000 0.1812 [2 per cell]  8 N 2.41-2.68
2 Ta 0.2500 0.5000 0.7050 [2 per cell]  5 N 2.05-2.19
3 N 0.0000 0.5000 0.0000 [2 per cell]  2 Ta 2.19, 2 N 2.33
4 N 0.2500 0.0000 0.7213 [2 per cell]  2 Ta 2.13
5 N 0.2500 0.5000 0.3793 [2 per cell]  1 Ta 2.05

***

No. 6
Here is a relaxed structure of NdTaN2 from the Alexandria database. Energies are from PBE.

Summary:
formation energy from raw total energies	-867	meV per atom

a b c (Å): 3.1984 3.1984 11.3507
angles (deg): 90.00 90.00 90.00
Closest atoms and distances in Å follow each position.
Space group I-4m2 (No. 119)
Symmetry-distinct sites (fractional):
1 Nd 0.0000 0.0000 0.0000 [2 per cell]  8 N 2.75
2 Ta 0.0000 0.5000 0.7500 [2 per cell]  4 N 2.05
3 N 0.0000 0.0000 0.3624 [4 per cell]  2 Ta 2.05

***

No. 7
Here is a relaxed structure of NdTaN2 from the Alexandria database. Energies are from PBE.

Summary:
formation energy from raw total energies	-1306	meV per atom

a b c (Å): 5.8212 3.3791 11.0821
angles (deg): 90.00 90.00 90.00
Closest atoms and distances in Å follow each position.
Space group Pnma (No. 62)
Symmetry-distinct sites (fractional):
1 Nd 0.0856 0.2500 0.1363 [4 per cell]  7 N 2.52-2.62
2 Ta 0.0807 0.7500 0.3884 [4 per cell]  5 N 2.11-2.24
3 N 0.1637 0.2500 0.7535 [4 per cell]  2 Ta 2.11-2.12
4 N 0.2216 0.2500 0.4868 [4 per cell]  3 Ta 2.17-2.24

***

No. 8
Here is a relaxed structure of NdTa4N6 from the Alexandria database. Energies are from PBE.

Summary:
formation energy from raw total energies	-1161	meV per atom

a b c (Å): 3.1641 10.3357 15.8287
angles (deg): 90.00 90.00 90.00
Closest atoms and distances in Å follow each position.
Space group Cmcm (No. 63)
Symmetry-distinct sites (fractional):
1 Nd 0.0000 0.1524 0.2500 [4 per cell]  8 N 2.49-2.74
2 Ta 0.0000 0.1034 0.6290 [8 per cell]  5 N 2.01-2.18
3 Ta 0.0000 0.3538 0.5417 [8 per cell]  6 N 2.13-2.33
4 N 0.0000 0.0000 0.0000 [4 per cell]  6 Ta 2.28-2.30
5 N 0.0000 0.1616 0.7500 [4 per cell]  2 Ta 2.01
6 N 0.0000 0.2631 0.0929 [8 per cell]  5 Ta 2.15-2.33
7 N 0.0000 0.4676 0.6536 [8 per cell]  3 Ta 2.13-2.15

***

| no. | E_tot (eV per atom) |
| --- | --- |
| 1 | -5.38 |
| 2 | -9.34 |
| 3 | -10.12 |
| 4 | -9.27 |
| 5 | -9.18 |
| 6 | -9.19 |
| 7 | -9.62 |
| 8 | -10.45 |